Entry 1:
DFT (PBE) results for a relaxed structure of SmPdF3.

Cell lengths 6.6413, 6.6413, 4.9897 Å; angles 90.00, 90.00, 144.39 degrees
Element x y z (fractional)
Sm 0.1563 0.8437 0.7500
Sm 0.8437 0.1563 0.2500
Pd 0.4807 0.5193 0.7500
Pd 0.5193 0.4807 0.2500
F 0.0946 0.9054 0.2500
F 0.3061 0.6939 0.0117
F 0.3061 0.6939 0.4883
F 0.6939 0.3061 0.5117
F 0.6939 0.3061 0.9883
F 0.9054 0.0946 0.7500

Values from the calculation:
The value obtained for the raw total energy is -56.7 eV per cell. The value obtained for the spin magnetization is 0.02 μB/atom.


Entry 2:
DFT (PBE) results for a relaxed structure of SrPdF3.

Cell lengths 4.2894, 4.2894, 4.2894 Å; angles 90.00, 90.00, 90.00 degrees
Element x y z (fractional)
Sr 0.0000 0.0000 0.0000
Pd 0.5000 0.5000 0.5000
F 0.0000 0.5000 0.5000
F 0.5000 0.0000 0.5000
F 0.5000 0.5000 0.0000

Values from the calculation:
The value obtained for the raw total energy is -22.5 eV per cell.


Entry 3:
DFT (PBE) results for a relaxed structure of SrTe2Pd2F2.

Cell lengths 3.7977, 3.7977, 9.8145 Å; angles 90.00, 90.00, 90.00 degrees
Element x y z (fractional)
Sr 0.0000 0.0000 0.0000
Te 0.0000 0.5000 0.2600
Te 0.5000 0.0000 0.7400
Pd 0.0000 0.5000 0.6613
Pd 0.5000 0.0000 0.3387
F 0.0000 0.0000 0.5000
F 0.5000 0.5000 0.5000

Values from the calculation:
The value obtained for the raw total energy is -27.2 eV per cell.


Entry 4:
DFT (PBE) results for a relaxed structure of TcPdF6.

Cell lengths 4.8258, 4.8495, 5.3805 Å; angles 63.94, 63.57, 60.35 degrees
Element x y z (fractional)
Tc 0.0000 0.0000 0.0000
Pd 0.5000 0.5000 0.5000
F 0.0409 0.7739 0.7585
F 0.2277 0.5782 0.2366
F 0.4235 0.0448 0.7583
F 0.5765 0.9552 0.2417
F 0.7723 0.4218 0.7634
F 0.9591 0.2261 0.2415

Values from the calculation:
The value obtained for the raw total energy is -40.2 eV per cell. The value obtained for the spin magnetization is 0.13 μB/atom.


Entry 5:
DFT (PBE) results for a relaxed structure of Zn2Te2PdF2.

Cell lengths 3.5504, 3.5504, 9.8587 Å; angles 90.00, 90.00, 90.00 degrees
Element x y z (fractional)
Zn 0.0000 0.5000 0.1290
Zn 0.5000 0.0000 0.8710
Te 0.0000 0.5000 0.7001
Te 0.5000 0.0000 0.2999
Pd 0.0000 0.0000 0.5000
F 0.0000 0.0000 0.0000
F 0.5000 0.5000 0.0000

Values from the calculation:
The value obtained for the raw total energy is -23.8 eV per cell.


Entry 6:
DFT (PBE) results for a relaxed structure of Tl2PdF6.

Cell lengths 5.7941, 5.7941, 5.7941 Å; angles 60.00, 60.00, 60.00 degrees
Element x y z (fractional)
Tl 0.2500 0.2500 0.2500
Tl 0.7500 0.7500 0.7500
Pd 0.0000 0.0000 0.0000
F 0.2376 0.2376 0.7624
F 0.2376 0.7624 0.2376
F 0.2376 0.7624 0.7624
F 0.7624 0.2376 0.2376
F 0.7624 0.2376 0.7624
F 0.7624 0.7624 0.2376

Values from the calculation:
The value obtained for the raw total energy is -35.2 eV per cell.


Entry 7:
DFT (PBE) results for a relaxed structure of Y2PdF2.

Cell lengths 3.5629, 3.5629, 13.2533 Å; angles 90.00, 90.00, 90.00 degrees
Element x y z (fractional)
Y 0.0000 0.0000 0.1300
Y 0.0000 0.0000 0.8700
Y 0.5000 0.5000 0.3700
Y 0.5000 0.5000 0.6300
Pd 0.0000 0.0000 0.5000
Pd 0.5000 0.5000 0.0000
F 0.0000 0.5000 0.2500
F 0.0000 0.5000 0.7500
F 0.5000 0.0000 0.2500
F 0.5000 0.0000 0.7500

Values from the calculation:
The value obtained for the raw total energy is -68.2 eV per cell. The value obtained for the spin magnetization is 0.00 μB/atom.


Entry 8:
DFT (PBE) results for a relaxed structure of Pm2F.

Cell lengths 6.1778, 6.1778, 6.1778 Å; angles 60.00, 60.00, 60.00 degrees
Element x y z (fractional)
Pm 0.0000 0.0000 0.0000
Pm 0.0000 0.0000 0.5000
Pm 0.0000 0.5000 0.0000
Pm 0.5000 0.0000 0.0000
F 0.3750 0.3750 0.3750
F 0.6250 0.6250 0.6250

Values from the calculation:
The value obtained for the raw total energy is -22.9 eV per cell. The value obtained for the spin magnetization is 0.18 μB/atom.


Entry 9:
DFT (PBE) results for a relaxed structure of RbPmF4.

Cell lengths 3.9096, 3.9096, 6.3924 Å; angles 90.00, 90.00, 90.00 degrees
Element x y z (fractional)
Rb 0.0000 0.0000 0.0000
Pm 0.5000 0.5000 0.5000
F 0.0000 0.5000 0.2966
F 0.0000 0.5000 0.7034
F 0.5000 0.0000 0.2966
F 0.5000 0.0000 0.7034

Values from the calculation:
The value obtained for the raw total energy is -35.1 eV per cell. The value obtained for the spin magnetization is 0.00 μB/atom.


Entry 10:
DFT (PBE) results for a relaxed structure of PmSe2F.

Cell lengths 3.9897, 3.9897, 9.4063 Å; angles 90.00, 90.00, 90.00 degrees
Element x y z (fractional)
Pm 0.0000 0.0000 0.0000
Pm 0.5000 0.5000 0.5000
Se 0.0000 0.5000 0.2500
Se 0.0000 0.5000 0.7500
Se 0.5000 0.0000 0.2500
Se 0.5000 0.0000 0.7500
F 0.0000 0.0000 0.5000
F 0.5000 0.5000 0.0000

Values from the calculation:
The value obtained for the raw total energy is -41.2 eV per cell. The value obtained for the spin magnetization is 0.00 μB/atom.


Entry 11:
DFT (PBE) results for a relaxed structure of PmSeF2.

Cell lengths 4.1524, 4.1524, 7.1653 Å; angles 90.00, 90.00, 90.00 degrees
Element x y z (fractional)
Pm 0.0000 0.0000 0.0000
Pm 0.5000 0.5000 0.5000
Se 0.0000 0.0000 0.5000
Se 0.5000 0.5000 0.0000
F 0.0000 0.5000 0.2500
F 0.0000 0.5000 0.7500
F 0.5000 0.0000 0.2500
F 0.5000 0.0000 0.7500

Values from the calculation:
The value obtained for the raw total energy is -42.3 eV per cell. The value obtained for the spin magnetization is 0.24 μB/atom.


Entry 12:
DFT (PBE) results for a relaxed structure of SrPm2F8.

Cell lengths 7.2206, 7.2206, 5.6566 Å; angles 110.60, 110.60, 30.77 degrees
Element x y z (fractional)
Sr 0.0000 0.0000 0.0000
Pm 0.3264 0.3264 0.3207
Pm 0.6736 0.6736 0.6793
F 0.0997 0.0997 0.4599
F 0.1759 0.1759 0.9583
F 0.2953 0.2953 0.6928
F 0.4711 0.4711 0.2275
F 0.5289 0.5289 0.7725
F 0.7047 0.7047 0.3072
F 0.8241 0.8241 0.0417
F 0.9003 0.9003 0.5401

Values from the calculation:
The value obtained for the raw total energy is -70.5 eV per cell. The value obtained for the spin magnetization is 0.00 μB/atom.